No. 1
Density functional theory data (PBE) for a geometry-optimized Cd3Pd4Pt4 structure.

The structure in POSCAR format:
```
Cd3Pd4Pt4
1.0
-0.264 2.409 1.408
-4.417 -0.924 0.751
1.172 -6.061 13.374
Pt Pd Cd
4 4 3
Direct
0.409 0.909 0.182 Pt
0.734 0.734 0.533 Pt
0.591 0.091 0.818 Pt
0.266 0.266 0.467 Pt
0.682 0.182 0.636 Pd
0.546 0.546 0.908 Pd
0.454 0.454 0.092 Pd
0.318 0.818 0.364 Pd
0.861 0.361 0.278 Cd
0.000 0.000 0.000 Cd
0.139 0.639 0.722 Cd
```

Results
density of states at the Fermi level = 9.575 states/eV per cell
ΔE_f = -0.1470 eV/atom
final energy = -49.30 eV for the cell shown

No. 2
Density functional theory data (PBE) for a geometry-optimized CdPd6Pt3 structure.

The structure in POSCAR format:
```
CdPd6Pt3
1.0
7.432 0.000 -0.641
0.000 6.701 0.000
-0.508 0.000 6.805
Pd Pt Cd
12 6 2
Direct
0.816 0.690 0.574 Pd
0.341 0.909 0.455 Pd
0.184 0.310 0.426 Pd
0.659 0.091 0.545 Pd
0.316 0.810 0.074 Pd
0.704 0.863 0.205 Pd
0.204 0.637 0.705 Pd
0.159 0.409 0.045 Pd
0.841 0.591 0.955 Pd
0.796 0.363 0.295 Pd
0.684 0.190 0.926 Pd
0.296 0.137 0.795 Pd
0.447 0.175 0.199 Pt
0.500 0.500 0.000 Pt
0.947 0.325 0.699 Pt
0.553 0.825 0.801 Pt
0.053 0.675 0.301 Pt
0.000 0.000 0.500 Pt
0.000 0.000 0.000 Cd
0.500 0.500 0.500 Cd
```

Results
density of states at the Fermi level = 32.773 states/eV per cell
ΔE_f = 0.0297 eV/atom
final energy = -99.80 eV for the cell shown

No. 3
Density functional theory data (PBE) for a geometry-optimized Cd2Pd2Pt structure.

The structure in POSCAR format:
```
Cd2Pd2Pt
1.0
-4.964 1.205 0.883
-0.924 -5.777 2.685
4.354 4.403 3.255
Pd Pt Cd
4 2 4
Direct
0.084 0.236 0.168 Pd
0.416 0.067 0.832 Pd
0.584 0.933 0.168 Pd
0.916 0.764 0.832 Pd
0.750 0.500 0.000 Pt
0.250 0.500 0.000 Pt
0.324 0.573 0.648 Cd
0.176 0.925 0.352 Cd
0.824 0.075 0.648 Cd
0.676 0.427 0.352 Cd
```

Results
density of states at the Fermi level = 6.195 states/eV per cell
ΔE_f = -0.1729 eV/atom
final energy = -38.24 eV for the cell shown

No. 4
Density functional theory data (PBE) for a geometry-optimized Cd3Pd2Pt6 structure.

The structure in POSCAR format:
```
Cd3Pd2Pt6
1.0
3.828 0.000 -0.481
-0.060 3.828 -0.481
-0.218 -0.221 13.743
Pt Pd Cd
6 2 3
Direct
0.382 0.882 0.764 Pt
0.692 0.692 0.383 Pt
0.118 0.618 0.236 Pt
0.308 0.308 0.617 Pt
0.882 0.382 0.764 Pt
0.618 0.118 0.236 Pt
0.547 0.547 0.095 Pd
0.453 0.453 0.905 Pd
0.206 0.206 0.412 Cd
0.000 0.000 0.000 Cd
0.794 0.794 0.588 Cd
```

Results
density of states at the Fermi level = 9.691 states/eV per cell
ΔE_f = -0.0159 eV/atom
final energy = -49.55 eV for the cell shown

No. 5
Density functional theory data (PBE) for a geometry-optimized Cd2Pd2Pt5 structure.

The structure in POSCAR format:
```
Cd2Pd2Pt5
1.0
-0.278 6.256 -1.376
-3.506 -5.953 6.469
3.336 3.654 0.656
Cd Pt Pd
2 5 2
Direct
0.656 0.332 0.014 Cd
0.344 0.668 0.986 Cd
0.787 0.563 0.671 Pt
0.442 0.886 0.659 Pt
0.213 0.437 0.329 Pt
0.558 0.114 0.341 Pt
0.000 0.000 0.000 Pt
0.102 0.217 0.674 Pd
0.898 0.783 0.326 Pd
```

Results
density of states at the Fermi level = 10.490 states/eV per cell
ΔE_f = -0.1736 eV/atom
final energy = -43.98 eV for the cell shown

No. 6
Density functional theory data (PBE) for a geometry-optimized Cd2Pd4Pt3 structure.

The structure in POSCAR format:
```
Cd2Pd4Pt3
1.0
-1.136 0.273 3.923
3.407 -1.235 3.208
4.688 7.031 0.852
Pd Cd Pt
4 2 3
Direct
0.665 0.670 0.888 Pd
0.999 0.002 0.663 Pd
0.001 0.998 0.337 Pd
0.335 0.330 0.112 Pd
0.668 0.664 0.220 Cd
0.332 0.336 0.780 Cd
0.336 0.328 0.449 Pt
0.664 0.672 0.551 Pt
0.000 0.000 0.000 Pt
```

Results
density of states at the Fermi level = 10.478 states/eV per cell
ΔE_f = -0.2118 eV/atom
final energy = -42.63 eV for the cell shown

No. 7
Density functional theory data (PBE) for a geometry-optimized Cd4PdPt structure.

The structure in POSCAR format:
```
Cd4PdPt
1.0
2.969 0.000 0.859
1.932 6.002 -1.118
-0.464 -3.068 7.164
Cd Pt Pd
4 1 1
Direct
0.829 0.518 0.824 Cd
0.331 0.017 0.322 Cd
0.669 0.983 0.678 Cd
0.171 0.482 0.176 Cd
0.500 0.500 0.500 Pt
0.000 0.000 0.000 Pd
```

Results
density of states at the Fermi level = 2.137 states/eV per cell
ΔE_f = -0.2309 eV/atom
final energy = -16.28 eV for the cell shown

No. 8
Density functional theory data (PBE) for a geometry-optimized Cd3Pd2Pt2 structure.

The structure in POSCAR format:
```
Cd3Pd2Pt2
1.0
4.897 -0.063 0.009
-3.022 3.655 -1.151
1.797 -1.144 7.179
Cd Pt Pd
3 2 2
Direct
0.581 0.133 0.714 Cd
0.419 0.867 0.286 Cd
0.000 0.000 0.000 Cd
0.141 0.286 0.428 Pt
0.859 0.714 0.572 Pt
0.291 0.560 0.852 Pd
0.709 0.440 0.148 Pd
```

Results
density of states at the Fermi level = 3.474 states/eV per cell
ΔE_f = -0.2955 eV/atom
final energy = -27.28 eV for the cell shown